This record from Alexandria describes an optimized crystal structure of U2Ni3As2. The functional is PBE.

Computed properties:
As for the calculated formation energy: -0.41 eV per atom. The value obtained for the total energy is -7.4368 eV/atom.

abc: 3.917 5.487 6.367
angles: 114.12 90.00 110.91
Last column: magnetic moment on the atom in μB.
Positions (direct):
U 0.848 0.697 0.223  2.08
U 0.152 0.303 0.777  2.08
Ni 0.500 0.000 0.000  0.02
Ni 0.598 0.197 0.435  -0.09
Ni 0.402 0.803 0.565  -0.09
As 0.857 0.713 0.753  -0.03
As 0.143 0.287 0.247  -0.03